VASP calculation (PBE-GGA) on a relaxed TbNpCo2 crystal.

Geometry as POSCAR:
```
TbNpCo2
1.0
2.0900 1.2067 4.9886
-2.0900 1.2067 4.9886
0.0000 -2.4133 4.9886
Tb Np Co
1 1 2
direct
0.0000 0.0000 0.0000
0.5000 0.5000 0.5000
0.2057 0.2057 0.2057
0.7943 0.7943 0.7943
```

- distance to the lowest polymorph of the same formula (kJ/mol of formula units) = 0
- calculated formation energy (eV/atom) = -0.101

VASP calculation (PBE-GGA) on a relaxed TbNpCo2 crystal.

Geometry as POSCAR:
```
TbNpCo2
1.0
4.7528 0.0000 0.0000
0.0000 4.7528 0.0000
0.0000 0.0000 3.2101
Tb Np Co
1 1 2
direct
0.0000 0.0000 0.0000
0.5000 0.5000 0.0000
0.0000 0.5000 0.5000
0.5000 0.0000 0.5000
```

- distance to the lowest polymorph of the same formula (kJ/mol of formula units) = 68
- calculated formation energy (eV/atom) = 0.075

VASP calculation (PBE-GGA) on a relaxed Tb2NpCo crystal.

Geometry as POSCAR:
```
Tb2NpCo
1.0
1.7310 0.9994 10.2472
-1.7310 0.9994 10.2472
0.0000 -1.9988 10.2472
Tb Np Co
2 1 1
direct
0.1104 0.1104 0.1104
0.8896 0.8896 0.8896
0.0000 0.0000 0.0000
0.5000 0.5000 0.5000
```

- calculated formation energy (eV/atom) = 0.488

VASP calculation (PBE-GGA) on a relaxed NpCo2Tc crystal.

Geometry as POSCAR:
```
NpCo2Tc
1.0
3.8440 0.0000 0.0000
0.0000 3.8440 0.0000
0.0000 0.0000 3.8502
Np Co Tc
1 2 1
direct
0.0000 0.0000 0.0000
0.0000 0.5000 0.5000
0.5000 0.0000 0.5000
0.5000 0.5000 0.0000
```

- calculated formation energy (eV/atom) = 0.004